Record 1
Rb3LaPm2Se6 | GGA-PBE | optimized geometry

Unit cell a=7.6010 b=13.1661 c=8.4056 alpha=90.00 beta=107.54 gamma=90.00
Space group C2/m (No. 12)
Asymmetric unit:
Rb: 0.0000 0.0000 0.0000 x2
Rb: 0.0000 0.3338 0.0000 x4
La: 0.0000 0.5000 0.5000 x2
Pm: 0.0000 0.1667 0.5000 x4
Se: 0.2282 0.0000 0.7004 x4
Se: 0.2361 0.3307 0.7004 x8

Computed properties:
**DOS(E_F)**: 0.000 states/eV per cell
**Energy**: -4.9508 eV per atom

***

Record 2
Rb4La3PmSe8 | GGA-PBE | optimized geometry

Unit cell a=8.8814 b=8.8814 c=24.0070 alpha=90.00 beta=90.00 gamma=120.00
Space group R-3m (No. 166, hexagonal axes)
Asymmetric unit:
Rb: 0.0000 0.0000 0.0000 x3
Rb: 0.0000 0.5000 0.0000 x9
La: 0.0000 0.5000 0.5000 x9
Pm: 0.0000 0.0000 0.5000 x3
Se: 0.0000 0.0000 0.2341 x6
Se: 0.0049 0.5025 0.2336 x18

Computed properties:
**DOS(E_F)**: 0.000 states/eV per cell
**Energy**: -5.0010 eV per atom

***

Record 3
RbLa3Pm2Te6 | GGA-PBE | optimized geometry

Unit cell a=20.0620 b=4.5725 c=9.3197 alpha=90.00 beta=102.86 gamma=90.00
Space group C2/m (No. 12)
Asymmetric unit:
Rb: 0.0000 0.0000 0.0000 x2
La: 0.0000 0.0000 0.5000 x2
La: 0.1616 0.5000 0.8255 x4
Pm: 0.1711 0.5000 0.3473 x4
Te: 0.0060 0.5000 0.2671 x4
Te: 0.1664 0.0000 0.5820 x4
Te: 0.1741 0.0000 0.0935 x4

Computed properties:
**DOS(E_F)**: 10.807 states/eV per cell
**Energy**: -5.1270 eV per atom

***

Record 4
Rb3La2PmTe6 | GGA-PBE | optimized geometry

Unit cell a=8.1456 b=14.1090 c=8.9724 alpha=90.00 beta=107.62 gamma=90.00
Space group C2/m (No. 12)
Asymmetric unit:
Rb: 0.0000 0.0000 0.0000 x2
Rb: 0.0000 0.3324 0.0000 x4
La: 0.0000 0.1665 0.5000 x4
Pm: 0.0000 0.5000 0.5000 x2
Te: 0.2325 0.3359 0.7053 x8
Te: 0.2405 0.0000 0.7057 x4

Computed properties:
**DOS(E_F)**: 0.000 states/eV per cell
**Energy**: -4.4936 eV per atom